Entry 1:
Entry from Alexandria: crystalline Ti5Cu3Se12 at its relaxed geometry (PBE).

As for the formation energy (no corrections): -0.4745 eV/atom.

It has space group Ia-3d (No. 230), with a = 15.432 Å, b = 15.432 Å, c = 15.432 Å, α = 90.00°, β = 90.00° and γ = 90.00°. The inequivalent atoms are Ti at (0.000, 0.000, 0.000), Ti at (0.000, 0.250, 0.375), Cu at (0.000, 0.250, 0.125) and Se at (0.032, 0.072, 0.647).

---

Entry 2:
Entry from Alexandria: crystalline TbYTm2P4 at its relaxed geometry (PBE).

The energy relative to the elements is -1612 meV/atom.

It has space group P2/m (No. 10), with a = 6.900 Å, b = 3.986 Å, c = 6.901 Å, α = 90.00°, β = 109.47° and γ = 90.00°. The inequivalent atoms are Tb at (0.000, 0.000, 0.000), Y at (0.000, 0.500, 0.500), Tm at (0.500, 0.000, 0.500), Tm at (0.500, 0.500, 0.000), P at (0.255, 0.000, 0.751) and P at (0.255, 0.500, 0.252).

---

Entry 3:
Entry from Alexandria: crystalline GaGeP3 at its relaxed geometry (PBE).

The energy relative to the elements is 895 meV/atom. Its energy above the most stable polymorph in this dataset is 0 kJ/mol of formula units.

It has space group Pm-3m (No. 221), with a = 4.751 Å, b = 4.751 Å, c = 4.751 Å, α = 90.00°, β = 90.00° and γ = 90.00°. The inequivalent atoms are Ga at (0.000, 0.000, 0.000), Ge at (0.500, 0.500, 0.500) and P at (0.000, 0.500, 0.500).

---

Entry 4:
Entry from Alexandria: crystalline Pr3RuCl2O6 at its relaxed geometry (PBE).

As for the formation energy (no corrections): -2.0308 eV/atom.

It has space group C2/m (No. 12), with a = 11.789 Å, b = 6.773 Å, c = 5.682 Å, α = 90.00°, β = 98.51° and γ = 90.00°. The inequivalent atoms are Pr at (0.000, 0.000, 0.000), Pr at (0.250, 0.250, 0.500), Ru at (0.000, 0.500, 0.500), Cl at (0.216, 0.000, 0.873), O at (0.056, 0.268, 0.301) and O at (0.158, 0.500, 0.670).

---

Entry 5:
Entry from Alexandria: crystalline ZrP2Os at its relaxed geometry (PBE).

The energy relative to the elements is -318 meV/atom. Its energy above the most stable polymorph in this dataset is 123 kJ/mol of formula units.

It has space group Fm-3m (No. 225), with a = 6.203 Å, b = 6.203 Å, c = 6.203 Å, α = 90.00°, β = 90.00° and γ = 90.00°. The inequivalent atoms are Zr at (0.000, 0.000, 0.000), P at (0.250, 0.250, 0.250) and Os at (0.000, 0.000, 0.500).

---

Entry 6:
Entry from Alexandria: crystalline YSb2As at its relaxed geometry (PBE).

As for the formation energy (no corrections): -0.2254 eV/atom.

It has space group F-43m (No. 216), with a = 7.441 Å, b = 7.441 Å, c = 7.441 Å, α = 90.00°, β = 90.00° and γ = 90.00°. The inequivalent atoms are Y at (0.000, 0.000, 0.000), Sb at (0.000, 0.000, 0.500), Sb at (0.250, 0.250, 0.250) and As at (0.250, 0.250, 0.750).

---

Entry 7:
Entry from Alexandria: crystalline CeTmCl6 at its relaxed geometry (PBE).

As for the formation energy (no corrections): -2.2121 eV/atom.

It has space group C2/m (No. 12), with a = 6.757 Å, b = 12.284 Å, c = 6.741 Å, α = 90.00°, β = 105.57° and γ = 90.00°. The inequivalent atoms are Ce at (0.000, 0.000, 0.000), Tm at (0.000, 0.500, 0.500), Cl at (0.234, 0.356, 0.739) and Cl at (0.247, 0.500, 0.261).

---

Entry 8:
Entry from Alexandria: crystalline ErScNiAu at its relaxed geometry (PBE).

The energy relative to the elements is -600 meV/atom.

It has space group F-43m (No. 216), with a = 6.783 Å, b = 6.783 Å, c = 6.783 Å, α = 90.00°, β = 90.00° and γ = 90.00°. The inequivalent atoms are Er at (0.000, 0.000, 0.000), Sc at (0.000, 0.000, 0.500), Ni at (0.250, 0.250, 0.250) and Au at (0.250, 0.250, 0.750).